BeZn3, relaxed, DFT PBE-GGA; ΔH_f (0 K) = 177.4 meV per atom; space group = Pm-3m (221); calculated total energy = -1.710 eV/atom; magnetization = 0.0 μB per formula unit
1.0
3.7521 0.0000 0.0000
0.0000 3.7521 0.0000
0.0000 0.0000 3.7521
Be Zn
1 3
direct
0.0000 0.0000 0.0000
0.0000 0.5000 0.5000
0.5000 0.0000 0.5000
0.5000 0.5000 0.0000

Be2Zn, relaxed, DFT PBE-GGA; ΔH_f (0 K) = 165.4 meV per atom; space group = Cm (8); calculated total energy = -2.743 eV/atom; magnetization = 0.0 μB per formula unit
1.0
4.3643 -1.2688 0.0000
4.3643 1.2688 0.0000
-1.1932 0.0000 5.5764
Be Zn
4 2
direct
0.0000 0.0000 0.0000
0.0625 0.0625 0.6279
0.3822 0.3822 0.2479
0.7176 0.7176 0.9422
0.3432 0.3432 0.6761
0.6581 0.6581 0.3234

BeZn3, relaxed, DFT PBE-GGA; ΔH_f (0 K) = 138.7 meV per atom; space group = Cmcm (63); calculated total energy = -1.748 eV/atom; magnetization = 0.0 μB per formula unit
1.0
2.5843 -4.4777 0.0000
2.5843 4.4777 0.0000
0.0000 0.0000 4.5814
Be Zn
2 6
direct
0.0807 0.9193 0.7500
0.9193 0.0807 0.2500
0.0816 0.4083 0.7500
0.4083 0.0816 0.2500
0.4150 0.5850 0.2500
0.5850 0.4150 0.7500
0.5917 0.9184 0.7500
0.9184 0.5917 0.2500

BeZn3, relaxed, DFT PBE-GGA; ΔH_f (0 K) = 175.7 meV per atom; space group = R-3m (166); calculated total energy = -1.711 eV/atom; magnetization = 0.0 μB per formula unit
1.0
1.3750 0.7938 8.2407
-1.3750 0.7938 8.2407
0.0000 -1.5877 8.2407
Be Zn
1 3
direct
0.0000 0.0000 0.0000
0.2600 0.2600 0.2600
0.5000 0.5000 0.5000
0.7400 0.7400 0.7400

BeZn3, relaxed, DFT PBE-GGA; ΔH_f (0 K) = 147.2 meV per atom; space group = Pmm2 (25); calculated total energy = -1.740 eV/atom; magnetization = 0.0 μB per formula unit
1.0
2.6729 0.0000 0.0000
0.0000 4.3432 0.0000
0.0000 0.0000 4.5309
Be Zn
1 3
direct
0.0000 0.0000 0.0000
0.0000 0.5000 0.3242
0.5000 0.0000 0.5028
0.5000 0.5000 0.8394

BeZn5, relaxed, DFT PBE-GGA; ΔH_f (0 K) = 279.4 meV per atom; space group = F-43m (216); calculated total energy = -1.403 eV/atom; magnetization = 0.0 μB per formula unit
1.0
0.0000 3.5326 3.5326
3.5326 0.0000 3.5326
3.5326 3.5326 0.0000
Be Zn
1 5
direct
0.0000 0.0000 0.0000
0.1242 0.6253 0.6253
0.2500 0.2500 0.2500
0.6253 0.1242 0.6253
0.6253 0.6253 0.1242
0.6253 0.6253 0.6253